SrCa4La: optimized geometry, PBE.

abc: 7.2601 7.2601 7.2601
angles: 60.00 60.00 60.00
Each line ends with the local moment (μB).
Sites, in units of the cell vectors:
La (0.7500, 0.7500, 0.7500)  0.18
Sr (0.0000, 0.0000, 0.0000)  0.00
Ca (0.8733, 0.3756, 0.3756)  0.02
Ca (0.3756, 0.3756, 0.3756)  0.02
Ca (0.3756, 0.3756, 0.8733)  0.02
Ca (0.3756, 0.8733, 0.3756)  0.02

Energy above the most stable polymorph in this dataset: 0.1093 eV/atom
Total magnetic moment: 0.15 μB per atom
Theoretical density: 2.4 Mg/m³

***

Sr4Ca8La: optimized geometry, PBE.

abc: 5.7738 18.1687 6.9150
angles: 63.22 65.32 80.86
Each line ends with the local moment (μB).
Sites, in units of the cell vectors:
Ca (0.4238, 0.9740, 0.1783)  0.02
Ca (0.6644, 0.2837, 0.3874)  0.00
Ca (0.2138, 0.6783, 0.8941)  0.03
Ca (0.7389, 0.0517, 0.4705)  0.01
Ca (0.5091, 0.7520, 0.2297)  0.04
Ca (0.9061, 0.6040, 0.5838)  0.01
Ca (0.9723, 0.3634, 0.6920)  0.00
Ca (0.3546, 0.2080, 0.0827)  0.00
La (0.8156, 0.8231, 0.5456)  0.28
Sr (0.5964, 0.5239, 0.2833)  0.00
Sr (0.0444, 0.1324, 0.7788)  0.00
Sr (0.1206, 0.8976, 0.8612)  0.04
Sr (0.2850, 0.4401, 0.9898)  0.00

Raw total energy: -2.077 eV per atom
Total magnetic moment: 0.10 μB per atom
Theoretical density: 2.3 Mg/m³

***

Sr2Ca8La: optimized geometry, PBE.

abc: 5.9960 5.9960 14.0812
angles: 90.00 90.00 90.00
Each line ends with the local moment (μB).
Sites, in units of the cell vectors:
Ca (0.0000, 0.5000, 0.5000)  0.00
Ca (0.5000, 0.0000, 0.1431)  0.02
Ca (0.5000, 0.0000, 0.5000)  0.00
Ca (0.5000, 0.5000, 0.3289)  0.00
Ca (0.0000, 0.5000, 0.8569)  0.02
Ca (0.0000, 0.5000, 0.1431)  0.02
Ca (0.5000, 0.5000, 0.6711)  0.00
Ca (0.5000, 0.0000, 0.8569)  0.02
La (0.0000, 0.0000, 0.0000)  0.17
Sr (0.0000, 0.0000, 0.3161)  0.00
Sr (0.0000, 0.0000, 0.6839)  0.00

Energy above the most stable polymorph in this dataset: 0.0589 eV/atom
Total magnetic moment: 0.06 μB per atom
Theoretical density: 2.1 Mg/m³

***

SrCaLaTb: optimized geometry, PBE.

abc: 6.0878 6.0878 6.0878
angles: 60.00 60.00 60.00
Sites, in units of the cell vectors:
Tb (0.0000, 0.0000, 0.0000)
La (0.7500, 0.7500, 0.7500)
Sr (0.2500, 0.2500, 0.2500)
Ca (0.5000, 0.5000, 0.5000)

Raw total energy: -3.140 eV per atom
Total magnetic moment: 0.00 μB per atom
Theoretical density: 4.4 Mg/m³

***

Sr2CaLaTc: optimized geometry, PBE.

abc: 5.8111 5.6543 5.8111
angles: 90.00 90.00 90.00
Each line ends with the local moment (μB).
Sites, in units of the cell vectors:
Ca (0.0000, 0.5000, 0.0000)  0.00
Tc (0.0000, 0.0000, 0.0000)  1.04
Sr (0.5000, 0.0000, 0.0000)  0.03
Sr (0.0000, 0.0000, 0.5000)  0.00
La (0.5000, 0.5000, 0.5000)  0.02

Raw total energy: -3.504 eV per atom
Total magnetic moment: 0.26 μB per atom
Theoretical density: 3.9 Mg/m³

***

SrCa2LaTe4: optimized geometry, PBE.

abc: 4.5706 7.9357 7.9623
angles: 70.63 90.00 90.00
Sites, in units of the cell vectors:
Te (0.0000, 0.2394, 0.2571)
Te (0.5000, 0.7591, 0.2497)
Te (0.5000, 0.2409, 0.7503)
Te (0.0000, 0.7606, 0.7429)
La (0.0000, 0.5000, 0.5000)
Ca (0.0000, 0.0000, 0.0000)
Ca (0.5000, 0.0000, 0.5000)
Sr (0.5000, 0.5000, 0.0000)

Formation energy (no corrections): -1.6278 eV/atom
Total magnetic moment: 0.00 μB per atom
Theoretical density: 5.0 Mg/m³

***

Sr3Ca2LaTe6: optimized geometry, PBE.

abc: 4.6304 9.3041 10.3889
angles: 103.11 102.88 90.00
Sites, in units of the cell vectors:
Te (0.6693, 0.5755, 0.3385)
Te (0.3351, 0.9094, 0.6702)
Te (0.3307, 0.4245, 0.6615)
Te (0.6649, 0.0906, 0.3298)
Te (0.0032, 0.2474, 0.0063)
Te (0.9968, 0.7526, 0.9937)
Sr (0.1666, 0.8308, 0.3332)
Sr (0.5000, 0.5000, 0.0000)
Sr (0.8334, 0.1692, 0.6668)
Ca (0.1678, 0.3357, 0.3356)
Ca (0.8322, 0.6643, 0.6644)
La (0.5000, 0.0000, 0.0000)

Formation energy (no corrections): -1.6641 eV/atom
Total magnetic moment: 0.00 μB per atom
Theoretical density: 4.9 Mg/m³

***

Sr2CaLaTe4: optimized geometry, PBE.

abc: 4.6270 8.0358 8.0692
angles: 109.35 90.00 90.00
Sites, in units of the cell vectors:
Sr (0.5000, 0.0000, 0.5000)
Sr (0.0000, 0.5000, 0.5000)
Te (0.5000, 0.7564, 0.7613)
Te (0.0000, 0.2497, 0.7582)
Te (0.0000, 0.7503, 0.2418)
Te (0.5000, 0.2436, 0.2387)
La (0.5000, 0.5000, 0.0000)
Ca (0.0000, 0.0000, 0.0000)

Formation energy (no corrections): -1.6528 eV/atom
Total magnetic moment: 0.00 μB per atom
Theoretical density: 5.1 Mg/m³

***

SrCaLa2Tl4: optimized geometry, PBE.

abc: 5.6369 5.6369 9.7876
angles: 73.26 73.26 60.00
Sites, in units of the cell vectors:
Ca (0.5000, 0.5000, 0.5000)
Tl (0.3764, 0.3764, 0.8709)
Tl (0.1263, 0.1263, 0.6212)
Tl (0.6236, 0.6236, 0.1291)
Tl (0.8737, 0.8737, 0.3788)
Sr (0.0000, 0.0000, 0.0000)
La (0.7520, 0.7520, 0.7441)
La (0.2480, 0.2480, 0.2559)

Raw total energy: -3.293 eV per atom
Total magnetic moment: 0.00 μB per atom
Theoretical density: 8.0 Mg/m³

***

SrCaLaTl: optimized geometry, PBE.

abc: 5.8747 5.8747 5.8747
angles: 60.00 60.00 60.00
Sites, in units of the cell vectors:
Ca (0.5000, 0.5000, 0.5000)
Sr (0.7500, 0.7500, 0.7500)
La (0.2500, 0.2500, 0.2500)
Tl (0.0000, 0.0000, 0.0000)

Raw total energy: -2.858 eV per atom
Total magnetic moment: 0.00 μB per atom
Theoretical density: 5.5 Mg/m³

***

SrCaLaV2: optimized geometry, PBE.

abc: 5.0691 5.5755 5.0691
angles: 90.00 90.00 90.00
Each line ends with the local moment (μB).
Sites, in units of the cell vectors:
La (0.0000, 0.5000, 0.0000)  -0.01
Sr (0.0000, 0.0000, 0.0000)  0.01
V (0.5000, 0.0000, 0.0000)  -0.33
V (0.0000, 0.0000, 0.5000)  0.01
Ca (0.5000, 0.5000, 0.5000)  -0.02

Raw total energy: -3.576 eV per atom
Total magnetic moment: 0.10 μB per atom
Theoretical density: 4.3 Mg/m³

***

SrCaLa2Zn: optimized geometry, PBE.

abc: 3.9638 4.9247 18.4493
angles: 90.00 90.00 90.00
Sites, in units of the cell vectors:
Sr (0.5000, 0.5000, 0.0526)
Sr (0.5000, 0.0000, 0.5526)
La (0.5000, 0.0000, 0.7570)
La (0.0000, 0.5000, 0.6966)
La (0.5000, 0.5000, 0.2570)
La (0.0000, 0.0000, 0.1966)
Zn (0.5000, 0.5000, 0.8615)
Zn (0.5000, 0.0000, 0.3615)
Ca (0.0000, 0.0000, 0.9159)
Ca (0.0000, 0.5000, 0.4159)

Energy above the most stable polymorph in this dataset: 0.0673 eV/atom
Total magnetic moment: 0.00 μB per atom
Theoretical density: 4.3 Mg/m³